Record 1
First-principles (PBE) data for a relaxed structure of Tm3Lu3Te2Pt, as listed in the Open Quantum Materials Database.

Computed properties:
The raw total energy is -5.2276 eV per atom.

a = 8.2812 Å, b = 8.2812 Å, c = 3.8973 Å
α = 90.00°, β = 90.00°, γ = 120.00°
Space group P-62m (No. 189)
Inequivalent atoms, fractional coordinates:
Tm (0.0000, 0.2460, 0.0000) [3 per cell]
Lu (0.0000, 0.6040, 0.5000) [3 per cell]
Te (0.3333, 0.6667, 0.0000) [2 per cell]
Pt (0.0000, 0.0000, 0.5000) [1 per cell]

***

Record 2
First-principles (PBE) data for a relaxed structure of Tm3Lu3Te2Pt, as listed in the Open Quantum Materials Database.

Computed properties:
The raw total energy is -5.2547 eV per atom.

a = 8.2632 Å, b = 8.2632 Å, c = 3.8957 Å
α = 90.00°, β = 90.00°, γ = 120.00°
Space group P-62m (No. 189)
Inequivalent atoms, fractional coordinates:
Tm (0.0000, 0.6040, 0.0000) [3 per cell]
Lu (0.0000, 0.2453, 0.5000) [3 per cell]
Te (0.3333, 0.6667, 0.5000) [2 per cell]
Pt (0.0000, 0.0000, 0.0000) [1 per cell]

***

Record 3
First-principles (PBE) data for a relaxed structure of LuThPt, as listed in the Open Quantum Materials Database.

Computed properties:
The calculation puts the energy of formation from the pure elements at -16.6 kcal/mol of atoms.

a = 6.951 Å, b = 6.951 Å, c = 6.951 Å
α = 90.00°, β = 90.00°, γ = 90.00°
Space group F-43m (No. 216)
Inequivalent atoms, fractional coordinates:
Lu (0.000, 0.000, 0.000) [4 per cell]
Th (0.000, 0.000, 0.500) [4 per cell]
Pt (0.250, 0.250, 0.250) [4 per cell]

***

Record 4
First-principles (PBE) data for a relaxed structure of LuTlPt2, as listed in the Open Quantum Materials Database.

Computed properties:
The raw total energy is -5.2565 eV per atom.

a = 6.767 Å, b = 6.767 Å, c = 6.767 Å
α = 90.00°, β = 90.00°, γ = 90.00°
Space group F-43m (No. 216)
Inequivalent atoms, fractional coordinates:
Lu (0.000, 0.000, 0.000) [4 per cell]
Tl (0.250, 0.250, 0.750) [4 per cell]
Pt (0.000, 0.000, 0.500) [4 per cell]
Pt (0.250, 0.250, 0.250) [4 per cell]

***

Record 5
First-principles (PBE) data for a relaxed structure of TmLuPt, as listed in the Open Quantum Materials Database.

Computed properties:
The calculation puts the energy of formation from the pure elements at -2.3 kcal/mol of atoms.

a = 6.618 Å, b = 6.618 Å, c = 6.618 Å
α = 90.00°, β = 90.00°, γ = 90.00°
Space group F-43m (No. 216)
Inequivalent atoms, fractional coordinates:
Tm (0.000, 0.000, 0.000) [4 per cell]
Lu (0.250, 0.250, 0.750) [4 per cell]
Pt (0.000, 0.000, 0.500) [4 per cell]

***

Record 6
First-principles (PBE) data for a relaxed structure of LuUPt, as listed in the Open Quantum Materials Database.

Computed properties:
The calculation puts the energy of formation from the pure elements at -6.2 kcal/mol of atoms.

a = 6.793 Å, b = 6.793 Å, c = 6.793 Å
α = 90.00°, β = 90.00°, γ = 90.00°
Space group F-43m (No. 216)
Inequivalent atoms, fractional coordinates:
Lu (0.000, 0.000, 0.000) [4 per cell]
U (0.000, 0.000, 0.500) [4 per cell]
Pt (0.250, 0.250, 0.250) [4 per cell]

***

Record 7
First-principles (PBE) data for a relaxed structure of LuPt2W, as listed in the Open Quantum Materials Database.

Computed properties:
The calculation puts the energy of formation from the pure elements at -3.2 kcal/mol of atoms.

a = 6.498 Å, b = 6.498 Å, c = 6.498 Å
α = 90.00°, β = 90.00°, γ = 90.00°
Space group F-43m (No. 216)
Inequivalent atoms, fractional coordinates:
Lu (0.000, 0.000, 0.000) [4 per cell]
Pt (0.000, 0.000, 0.500) [4 per cell]
Pt (0.250, 0.250, 0.250) [4 per cell]
W (0.250, 0.250, 0.750) [4 per cell]

***

Record 8
First-principles (PBE) data for a relaxed structure of YLu2Pt, as listed in the Open Quantum Materials Database.

Computed properties:
The calculation puts the energy of formation from the pure elements at -7.6 kcal/mol of atoms.

a = 7.248 Å, b = 7.248 Å, c = 7.248 Å
α = 90.00°, β = 90.00°, γ = 90.00°
Space group F-43m (No. 216)
Inequivalent atoms, fractional coordinates:
Y (0.000, 0.000, 0.000) [4 per cell]
Lu (0.000, 0.000, 0.500) [4 per cell]
Lu (0.250, 0.250, 0.250) [4 per cell]
Pt (0.250, 0.250, 0.750) [4 per cell]